First-principles (GGA-PBE) data for a relaxed structure of La12Tm3Zn, as listed in the Alexandria database.

extended XYZ file:
```
16
Lattice="-0.775 -4.945 1.133 4.924 -1.009 -1.036 4.911 3.743 19.704" Properties=species:S:1:pos:R:3 pbc="T T T"
La 3.279 -2.059 4.881
La 2.074 -2.977 0.048
Tm 3.704 2.823 14.861
Tm 1.207 0.920 4.843
La 5.541 1.842 11.835
La 1.445 -1.076 7.917
La 2.692 -0.126 12.919
La 5.781 -0.152 14.919
La 0.199 -2.026 2.918
Zn 0.000 0.000 0.000
La 6.787 2.791 16.834
La 3.048 -0.058 1.834
La 4.530 -1.106 9.900
La 4.294 0.892 6.833
La 3.937 0.824 17.918
Tm 2.456 1.871 9.852
```

Output
Theoretical density   6.8 g/cm3
Energy relative to the elements   -0.002 eV/atom